Cs3CaNb2O8 | PBE | optimized geometry

```
14
Lattice="6.4660 0.0000 0.0000 -3.2330 5.5997 0.0000 0.0000 0.0000 8.4518" Properties=species:S:1:pos:R:3 pbc="T T T"
Cs 0.0000 3.7331 5.8820
Cs 3.2330 1.8666 2.5698
Cs 0.0000 0.0000 0.0000
Ca 0.0000 0.0000 4.2259
Nb 0.0000 3.7331 2.1961
Nb 3.2330 1.8666 6.2557
O 0.0000 3.7331 0.3346
O 3.2330 1.8666 8.1172
O -1.5435 4.6243 2.8202
O 4.7765 0.9754 5.6316
O 0.0000 1.9509 2.8202
O 3.2330 3.6488 5.6316
O 1.5435 4.6243 2.8202
O 1.6895 0.9754 5.6316
```

## Properties
**ΔE_f (raw)**: -2.29 eV/atom
**Density**: 4.08 g/cm³
**Crystal system**: trigonal



CsCaNbO4 | PBE | optimized geometry

```
14
Lattice="6.2199 0.0000 0.0505 0.0000 6.3389 0.0000 -2.3776 0.0000 7.7075" Properties=species:S:1:pos:R:3 pbc="T T T"
Cs 2.2013 4.7542 7.2689
Cs 1.6411 1.5847 0.4890
Ca 3.9707 4.7542 3.6021
Ca -0.1284 1.5847 4.1558
Nb 0.8763 4.7542 2.7636
Nb 2.9660 1.5847 4.9943
O 4.1938 3.0216 5.1355
O -0.3515 6.1911 2.6224
O -0.3515 3.3173 2.6224
O 4.1938 0.1479 5.1355
O 2.3588 4.7542 1.6094
O 1.4835 1.5847 6.1486
O 1.6999 4.7542 4.4249
O 2.1424 1.5847 3.3330
```

## Properties
**ΔE_f (raw)**: -2.56 eV/atom
**Density**: 3.60 g/cm³
**Crystal system**: monoclinic



CsCaNbP2 | PBE | optimized geometry

```
5
Lattice="5.3271 0.0000 0.0000 0.0000 5.7105 0.0000 0.0000 0.0000 5.3271" Properties=species:S:1:pos:R:3 pbc="T T T"
Cs 0.0000 2.8553 0.0000
P 0.0000 0.0000 2.6636
P 2.6636 0.0000 0.0000
Nb 2.6636 2.8553 2.6636
Ca 0.0000 0.0000 0.0000
```

## Properties
**Formation enthalpy at 0 K**: 1.22 eV/atom
**Density**: 3.36 g/cm³
**Crystal system**: tetragonal



CsCa2NbRu | PBE | optimized geometry

```
5
Lattice="5.7816 0.0000 0.0000 0.0000 5.7665 0.0000 0.0000 0.0000 5.7816" Properties=species:S:1:pos:R:3 pbc="T T T"
Cs 0.0000 2.8832 0.0000
Ru 2.8908 2.8832 2.8908
Nb 0.0000 0.0000 0.0000
Ca 0.0000 0.0000 2.8908
Ca 2.8908 0.0000 0.0000
```

## Properties
**Formation enthalpy at 0 K**: 1.89 eV/atom
**Density**: 3.51 g/cm³
**Crystal system**: tetragonal



Cs2Ca2NbS6 | PBE | optimized geometry

```
11
Lattice="-6.1059 3.0708 -0.3369 1.8963 -3.0000 5.8506 4.8398 6.9707 0.5800" Properties=species:S:1:pos:R:3 pbc="T T T"
Cs -4.7222 2.0211 0.7330
Cs 0.5126 -1.9502 4.7807
Ca 1.6389 2.5165 4.0704
Ca -1.0087 4.5251 2.0233
Nb 2.4199 3.4854 0.2900
S 0.0458 4.7669 4.6178
S 3.5740 3.8280 2.4728
S 0.5844 2.2747 1.4759
S 1.1980 5.6304 0.6357
S -2.9437 3.2136 3.6209
S -0.5678 1.4111 5.4580
```

## Properties
**ΔE_f (raw)**: -1.30 eV/atom
**Density**: 3.14 g/cm³
**Crystal system**: monoclinic



Cs2CaNbSe4 | PBE | optimized geometry

```
16
Lattice="6.6455 0.0000 0.0000 3.3227 7.5402 0.0000 3.3227 0.0000 13.3775" Properties=species:S:1:pos:R:3 pbc="T T T"
Cs 3.3227 0.0000 8.5869
Cs 6.6455 0.0000 4.7906
Cs 8.3068 3.7701 11.4794
Cs 8.3068 3.7701 1.8981
Ca 8.3068 3.7701 6.6888
Ca 0.0000 0.0000 0.0000
Nb 4.9841 3.7701 6.6888
Nb 3.3227 0.0000 0.0000
Se 5.2557 6.0437 1.4193
Se 5.2557 1.4965 11.9582
Se 11.3580 6.0437 11.9582
Se 4.7125 1.4965 1.4193
Se 6.3739 5.2666 5.2695
Se 6.3739 2.2736 8.1081
Se 10.2398 5.2666 8.1081
Se 3.5943 2.2736 5.2695
```

## Properties
**ΔE_f (raw)**: -1.14 eV/atom
**Density**: 3.54 g/cm³
**Crystal system**: orthorhombic



Cs2Ca2NbSe6 | PBE | optimized geometry

```
11
Lattice="-2.8712 3.8446 -5.2194 -4.2029 -2.6459 5.0598 3.5842 6.6745 4.6788" Properties=species:S:1:pos:R:3 pbc="T T T"
Cs -3.1028 2.7156 -3.4314
Cs -3.9712 -1.5170 3.2718
Ca -1.9663 2.8578 3.9681
Ca -1.5236 5.0154 0.5510
Nb 1.7921 3.3373 2.3394
Se -2.9734 5.4611 3.0630
Se 0.7241 3.8418 4.6846
Se -0.5164 2.4121 1.4561
Se 1.1204 5.7733 1.6255
Se -4.2140 4.0314 -0.1654
Se -4.6103 2.0999 2.8936
```

## Properties
**ΔE_f (raw)**: -1.21 eV/atom
**Density**: 4.04 g/cm³
**Crystal system**: monoclinic



CsCa2TiNb | PBE | optimized geometry

```
5
Lattice="-3.6515 4.2483 2.1143 0.6914 -2.2388 5.6926 4.6975 3.6141 0.8509" Properties=species:S:1:pos:R:3 pbc="T T T"
Cs 0.3457 -1.1194 2.8463
Nb 0.8687 2.8118 4.3289
Ca 2.3487 1.8070 0.4254
Ca -1.8257 2.1242 1.0572
Ti 0.0000 0.0000 0.0000
```

## Properties
**Formation enthalpy at 0 K**: 1.72 eV/atom
**Density**: 2.66 g/cm³
**Crystal system**: tetragonal



CsCaNdO3 | PBE | optimized geometry

```
12
Lattice="-1.6942 3.2151 -0.9961 -0.5367 -2.4432 -6.9728 -8.6826 -1.8774 8.7085" Properties=species:S:1:pos:R:3 pbc="T T T"
Cs -8.4660 -0.7328 1.3433
Cs -2.4475 -0.3727 -0.6037
Ca -6.1337 -2.7238 -1.9226
Ca -4.7799 1.6183 2.6622
Nd -1.9615 -1.2045 -4.1152
Nd -8.9520 0.0991 4.8548
O -4.1183 -1.9383 -2.8151
O -3.6101 -0.3544 -5.6948
O -2.3045 1.0796 -3.2871
O -6.7952 0.8328 3.5546
O -8.6091 -2.1850 4.0267
O -7.3035 -0.7511 6.4343
```

## Properties
**ΔE_f (raw)**: -2.51 eV/atom
**Density**: 4.21 g/cm³
**Crystal system**: monoclinic



Cs2CaNi | PBE | optimized geometry

```
8
Lattice="2.3705 -8.5242 4.1147 -2.8306 9.2580 1.2205 -8.7427 -3.0570 -3.0714" Properties=species:S:1:pos:R:3 pbc="T T T"
Cs -2.3638 2.7089 0.1081
Cs -9.3244 3.6756 -0.6252
Cs -5.4322 6.8422 0.6439
Cs -6.4861 -0.0909 1.5066
Ca -0.2300 0.3669 2.6676
Ca -3.3011 -5.6072 1.8555
Ni 0.0000 0.0000 0.0000
Ni -5.9016 3.2840 0.4084
```

## Properties
**Formation enthalpy at 0 K**: 0.46 eV/atom
**Density**: 2.55 g/cm³
**Crystal system**: tetragonal



Cs2Ca2Ni | PBE | optimized geometry

```
10
Lattice="7.7813 0.0000 0.0000 0.0000 7.7813 0.0000 0.0000 0.0000 7.5691" Properties=species:S:1:pos:R:3 pbc="T T T"
Cs 1.5240 5.4147 3.7845
Cs 5.4147 6.2573 3.7845
Cs 6.2573 2.3666 3.7845
Cs 2.3666 1.5240 3.7845
Ni 0.0000 0.0000 0.0000
Ni 3.8907 3.8907 0.0000
Ca 2.4253 6.3160 0.0000
Ca 6.3160 5.3560 0.0000
Ca 5.3560 1.4653 0.0000
Ca 1.4653 2.4253 0.0000
```

## Properties
**Formation enthalpy at 0 K**: 0.34 eV/atom
**Density**: 2.93 g/cm³
**Crystal system**: tetragonal



CsCa3Ni | PBE | optimized geometry

```
5
Lattice="-1.3420 4.5225 3.3135 -1.4471 -3.5711 4.2879 5.4164 0.1665 1.9666" Properties=species:S:1:pos:R:3 pbc="T T T"
Cs 0.0000 0.0000 0.0000
Ni 1.3136 0.5589 4.7840
Ca -0.7236 -1.7855 2.1440
Ca 2.7082 0.0832 0.9833
Ca -0.6710 2.2612 1.6567
```

## Properties
**Energy above the lowest structure with this stoichiometry**: 1492 meV/atom
**Formation enthalpy at 0 K**: 1.59 eV/atom
**Density**: 2.70 g/cm³
**Crystal system**: cubic



CsCa3Ni | PBE | optimized geometry

```
5
Lattice="5.8127 0.0000 0.0000 0.0000 5.8127 0.0000 0.0000 0.0000 5.8127" Properties=species:S:1:pos:R:3 pbc="T T T"
Cs 2.9064 2.9064 2.9064
Ni 0.0000 0.0000 0.0000
Ca 0.0000 2.9064 0.0000
Ca 0.0000 0.0000 2.9064
Ca 2.9064 0.0000 0.0000
```

## Properties
**Energy above the lowest structure with this stoichiometry**: 0 meV/atom
**Formation enthalpy at 0 K**: 0.10 eV/atom
**Density**: 2.64 g/cm³
**Crystal system**: cubic



CsCa2Ni | PBE | optimized geometry

```
4
Lattice="-1.4405 2.9618 4.6263 1.2863 5.5200 0.3520 -4.1180 3.8994 -0.2932" Properties=species:S:1:pos:R:3 pbc="T T T"
Cs -2.1361 6.1906 2.3425
Ni 0.0000 0.0000 0.0000
Ca -1.0680 3.0953 1.1713
Ca -3.2041 9.2859 3.5138
```

## Properties
**Energy above the lowest structure with this stoichiometry**: 256 meV/atom
**Formation enthalpy at 0 K**: 0.56 eV/atom
**Density**: 3.48 g/cm³
**Crystal system**: cubic



CsCa2Ni | PBE | optimized geometry

```
8
Lattice="8.4332 0.0000 0.0000 0.0000 8.4332 0.0000 4.2166 4.2166 6.0061" Properties=species:S:1:pos:R:3 pbc="T T T"
Cs 0.0000 0.0000 0.0000
Cs 8.4332 4.2166 3.0031
Ni 4.2166 4.2166 0.0000
Ni 4.2166 8.4332 3.0031
Ca 4.2295 2.1083 1.5015
Ca 4.2037 6.3249 1.5015
Ca 6.3249 8.4204 4.5046
Ca 10.5415 8.4461 4.5046
```

## Properties
**Energy above the lowest structure with this stoichiometry**: 0 meV/atom
**Formation enthalpy at 0 K**: 0.30 eV/atom
**Density**: 2.11 g/cm³
**Crystal system**: tetragonal



Cs2CaNiPt | PBE | optimized geometry

```
5
Lattice="-6.4019 -3.4912 1.5869 2.0743 -4.4518 -1.4258 2.3547 -1.1412 6.9888" Properties=species:S:1:pos:R:3 pbc="T T T"
Cs 1.1774 -0.5706 3.4944
Cs -3.2009 -1.7456 0.7934
Ni -0.9864 -4.5421 3.5749
Ca 0.0000 0.0000 0.0000
Pt 1.0372 -2.2259 -0.7129
```

## Properties
**Formation enthalpy at 0 K**: 0.78 eV/atom
**Density**: 3.26 g/cm³
**Crystal system**: tetragonal



CsCa2NiSe | PBE | optimized geometry

```
5
Lattice="5.9082 0.0000 0.0000 0.0000 4.6690 0.0000 0.0000 0.0000 5.9082" Properties=species:S:1:pos:R:3 pbc="T T T"
Cs 0.0000 0.0000 0.0000
Ni 0.0000 2.3345 0.0000
Ca 0.0000 0.0000 2.9541
Ca 2.9541 0.0000 0.0000
Se 2.9541 2.3345 2.9541
```

## Properties
**ΔE_f (raw)**: 0.93 eV/atom
**Density**: 3.57 g/cm³
**Crystal system**: tetragonal



CsCa2TlNi | PBE | optimized geometry

```
5
Lattice="-1.6446 2.9567 -4.5654 -2.2314 -4.7164 -2.2507 -4.5752 1.0527 2.3299" Properties=species:S:1:pos:R:3 pbc="T T T"
Cs -4.2256 -0.3535 -2.2431
Ni 0.0000 0.0000 0.0000
Tl -2.2876 0.5264 1.1650
Ca -1.1157 -2.3582 -1.1253
Ca -0.8223 1.4783 -2.2827
```

## Properties
**Formation enthalpy at 0 K**: 0.03 eV/atom
**Density**: 4.67 g/cm³
**Crystal system**: tetragonal



Cs3CaNp2O9 | PBE | optimized geometry

```
15
Lattice="6.2789 0.0000 0.0000 -3.1394 5.4377 0.0000 0.0000 0.0000 7.7010" Properties=species:S:1:pos:R:3 pbc="T T T"
Cs 0.0000 3.6251 5.0646
Cs 0.0000 0.0000 0.0000
Cs 3.1395 1.8126 2.6364
Ca 0.0000 0.0000 3.8505
Np 0.0000 3.6251 1.2287
Np 3.1395 1.8126 6.4723
O 4.5488 0.9989 5.3229
O 3.1395 3.4399 5.3229
O 1.7301 0.9989 5.3229
O 1.4093 4.4388 2.3782
O 0.0000 1.9978 2.3782
O -1.4093 4.4388 2.3782
O 3.1394 0.0000 0.0000
O -1.5697 2.7188 0.0000
O 1.5697 2.7188 0.0000
```

## Properties
**ΔE_f (raw)**: -2.49 eV/atom
**Density**: 6.67 g/cm³
**Crystal system**: trigonal



Cs2CaNp2O7 | PBE | optimized geometry

```
12
Lattice="4.3475 -0.0027 0.0117 0.0026 4.3475 0.0117 2.1438 2.1412 11.9176" Properties=species:S:1:pos:R:3 pbc="T T T"
Cs 4.3380 4.3327 4.5667
Cs 2.1559 2.1533 7.3743
Ca 0.0000 0.0000 0.0000
Np 4.3244 4.3192 9.8395
Np 2.1695 2.1669 2.1015
O 2.1750 2.1724 0.0117
O 2.1640 2.1614 4.0987
O 4.3299 4.3246 7.8423
O 4.3440 2.1665 1.8292
O 2.1718 4.3413 1.8292
O 4.3222 2.1447 10.1118
O 2.1500 4.3196 10.1118
```

## Properties
**ΔE_f (raw)**: -2.63 eV/atom
**Density**: 6.58 g/cm³
**Crystal system**: tetragonal



CsCa2Np2O7 | PBE | optimized geometry

```
12
Lattice="4.4943 0.0000 0.0000 0.0000 4.4956 0.0000 -2.2472 -2.2478 9.7223" Properties=species:S:1:pos:R:3 pbc="T T T"
Cs 0.0000 4.4954 0.0001
Ca 0.0000 2.2477 4.8625
Ca 2.2472 -0.0001 4.8597
Np 0.0000 -0.0002 7.5561
Np 2.2472 2.2477 2.1663
O 0.0000 2.2477 7.3168
O 2.2471 2.2476 4.3587
O 0.0000 2.2476 2.4061
O 2.2472 -0.0001 2.4055
O 0.0001 -0.0001 5.3634
O 2.2472 -0.0002 7.3162
O 2.2472 2.2476 0.0003
```

## Properties
**ΔE_f (raw)**: -2.81 eV/atom
**Density**: 6.75 g/cm³
**Crystal system**: tetragonal



Cs2Ca2NpS6 | PBE | optimized geometry

```
11
Lattice="7.0071 0.0154 0.0391 -3.4500 6.0990 0.0391 -1.2951 -2.2261 8.1473" Properties=species:S:1:pos:R:3 pbc="T T T"
Cs 5.1958 1.0691 0.0391
Cs -1.6386 5.0452 0.0391
Ca -0.6050 2.9541 4.1128
Ca 2.8670 0.9342 4.1128
Np -0.6475 -1.1131 4.0737
S 1.8351 3.1544 5.5727
S -1.7036 0.7149 5.5357
S 0.4269 0.7338 2.6529
S 1.4635 -1.1276 5.5357
S 3.9656 3.1733 2.6899
S 0.7986 5.0158 2.6899
```

## Properties
**ΔE_f (raw)**: -1.51 eV/atom
**Density**: 3.68 g/cm³
**Crystal system**: monoclinic



Cs3Ca2NpS6 | PBE | optimized geometry

```
12
Lattice="7.2105 0.0018 0.0043 -3.6019 6.2464 0.0043 -1.1990 -2.0760 8.0078" Properties=species:S:1:pos:R:3 pbc="T T T"
Cs -2.3291 4.1271 4.0082
Cs 4.7387 0.0451 4.0082
Cs 1.2048 2.0861 4.0082
Ca 0.0090 4.1610 0.0043
Ca 3.5996 2.0873 0.0043
Np 0.0000 0.0000 0.0000
S 3.5175 2.2470 6.5705
S 2.5007 4.3299 1.4781
S -1.1079 1.9252 1.4459
S 0.1884 4.1697 6.5705
S -0.0910 -0.1576 6.5383
S 2.2213 0.0025 1.4459
```

## Properties
**ΔE_f (raw)**: -1.53 eV/atom
**Density**: 4.18 g/cm³
**Crystal system**: monoclinic